## one
meta-GGA SCAN Sc3Cd, single point on PBEsol structure; SG = No. 59; M_tot = 0.01 μB per formula unit
1.0
-0.658 4.929 0.649
-2.852 -1.004 4.735
5.315 0.281 3.261
Cd Sc
2 6
Direct
0.500 0.334 0.500
0.000 0.666 0.000
0.500 0.844 0.755
0.500 0.363 0.000
0.000 0.156 0.745
0.000 0.637 0.500
0.000 0.156 0.255
0.500 0.844 0.245

=====

## two
meta-GGA SCAN Sc3Cd, single point on PBEsol structure; SG = No. 47; M_tot = 0.59 μB per formula unit
1.0
-1.801 2.549 -0.809
-3.504 -1.839 2.006
1.575 2.800 5.318
Cd Sc
1 3
Direct
0.000 0.000 0.000
0.500 0.500 0.249
0.000 0.000 0.500
0.500 0.500 0.752

=====

It is one that is most stable; the runner-up trails by 2.5 kJ/mol of atoms.

=====

## one
meta-GGA SCAN Sc3Cd, single point on PBEsol structure; SG = No. 123; M_tot = 1.85 μB per formula unit
1.0
3.238 0.000 0.000
0.000 3.238 0.000
0.000 0.000 8.532
Cd Sc
1 3
Direct
0.000 0.000 0.000
0.500 0.500 0.238
0.500 0.500 0.762
0.000 0.000 0.500

=====

## two
meta-GGA SCAN Sc3Cd, single point on PBEsol structure; SG = No. 221; M_tot = 0.94 μB per formula unit
1.0
5.329 0.000 0.000
0.000 5.329 0.000
0.000 0.000 5.329
Sc Cd
3 1
Direct
0.500 0.000 0.000
0.000 0.000 0.500
0.000 0.500 0.000
0.000 0.000 0.000

=====

## three
meta-GGA SCAN Sc3Cd, single point on PBEsol structure; SG = No. 139; M_tot = 1.24 μB per formula unit
1.0
4.422 0.000 0.000
0.000 4.422 0.000
-2.211 -2.211 4.496
Cd Sc
1 3
Direct
0.000 0.000 0.000
0.250 0.750 0.500
0.500 0.500 0.000
0.750 0.250 0.500

=====

It is one that is most stable; the runner-up trails by 3.9 kJ/mol of atoms.

=====

## one
meta-GGA SCAN Sr2ScCd, single point on PBEsol structure; SG = No. 99; M_tot = 0.68 μB per formula unit
1.0
-1.893 2.983 1.333
-0.923 -1.966 3.089
7.947 3.100 4.348
Sr Sc Cd
2 1 1
Direct
0.000 0.000 0.957
0.500 0.500 0.312
0.500 0.500 0.684
0.000 0.000 0.547

=====

## two
meta-GGA SCAN Sr2ScCd, single point on PBEsol structure; SG = No. 123; M_tot = 1.27 μB per formula unit
1.0
-1.752 -0.383 3.316
3.330 -0.468 1.705
0.591 9.233 1.379
Sr Sc Cd
2 1 1
Direct
0.000 0.000 0.775
0.000 0.000 0.225
0.500 0.500 0.500
0.500 0.500 0.000

=====

It is one that is most stable; the runner-up trails by 11.7 kJ/mol of atoms.

=====

## one
meta-GGA SCAN SrScCd, single point on PBEsol structure; SG = No. 216; M_tot = 0.00 μB per formula unit
1.0
5.038 0.000 0.000
2.519 4.363 0.000
2.519 1.454 4.114
Cd Sc Sr
1 1 1
Direct
0.500 0.500 0.500
0.250 0.250 0.250
0.000 0.000 0.000

=====

## two
meta-GGA SCAN SrScCd, single point on PBEsol structure; SG = No. 156; M_tot = 0.00 μB per formula unit
1.0
3.887 0.000 0.000
0.000 5.137 0.000
0.000 -2.569 4.449
Cd Sc Sr
1 1 1
Direct
0.835 0.000 0.000
0.832 0.333 0.667
0.333 0.667 0.333

=====

It is two that is most stable; the runner-up trails by 39.6 kJ/mol of atoms.

=====

## one
meta-GGA SCAN ZrScCd, single point on PBEsol structure; SG = No. 107; M_tot = 0.00 μB per formula unit
1.0
-2.441 0.021 2.084
2.051 -0.546 2.408
0.918 6.439 -1.461
Zr Sc Cd
1 1 1
Direct
0.333 0.333 0.666
0.665 0.665 0.331
0.001 0.001 0.003

=====

## two
meta-GGA SCAN ZrScCd, single point on PBEsol structure; SG = No. 156; M_tot = 0.00 μB per formula unit
1.0
-2.509 -1.253 -1.460
2.026 -1.870 1.547
-4.110 0.813 6.367
Cd Sc Zr
1 1 1
Direct
0.000 0.000 0.999
0.333 0.667 0.664
0.667 0.333 0.337

=====

It is one that is most stable; the runner-up trails by 14.2 kJ/mol of atoms.

=====

## one
meta-GGA SCAN Tl2CdSe, single point on PBEsol structure; SG = No. 216; M_tot = 0.00 μB per formula unit
1.0
5.268 0.000 0.000
2.634 4.562 0.000
2.634 1.521 4.301
Tl Se Cd
2 1 1
Direct
0.250 0.250 0.250
0.000 0.000 0.000
0.750 0.750 0.750
0.500 0.500 0.500

=====

## two
meta-GGA SCAN Tl2CdSe, single point on PBEsol structure; SG = No. 8; M_tot = 0.00 μB per formula unit
1.0
3.782 0.000 0.000
0.000 5.294 -0.019
-1.891 -2.641 5.218
Se Tl Cd
1 2 1
Direct
0.230 0.726 0.461
0.973 0.975 0.946
0.762 0.261 0.523
0.535 0.538 0.070

=====

It is two that is most stable; the runner-up trails by 13.5 kJ/mol of atoms.